# 1
Sn5Sb3S12 | Alexandria via LeMat-Bulk | PBE | relaxed; volume = 2089.3 Å³/cell; crystal system = cubic; calculated density = 4.3 Mg/m³; raw total energy = -338.1 eV per cell
1.0
-8.785 1.528 -10.727
-2.337 -12.269 6.212
-2.021 10.315 9.170
Sb Sn S
12 20 48
direct
0.750 0.375 0.125
0.875 0.750 0.125
0.375 0.750 0.625
0.250 0.125 0.375
0.875 0.125 0.250
0.375 0.625 0.250
0.625 0.375 0.750
0.125 0.875 0.750
0.750 0.875 0.625
0.625 0.250 0.375
0.125 0.250 0.875
0.250 0.625 0.875
0.125 0.375 0.250
0.000 0.500 0.000
0.000 0.000 0.000
0.375 0.250 0.125
0.500 0.000 0.500
0.500 0.500 0.000
0.125 0.750 0.375
0.750 0.125 0.875
0.750 0.625 0.375
0.375 0.125 0.750
0.625 0.875 0.250
0.500 0.500 0.500
0.500 0.000 0.000
0.000 0.000 0.500
0.250 0.375 0.625
0.250 0.875 0.125
0.000 0.500 0.500
0.875 0.250 0.625
0.625 0.750 0.875
0.875 0.625 0.750
0.725 0.133 0.044
0.319 0.544 0.412
0.956 0.367 0.275
0.544 0.225 0.133
0.592 0.725 0.681
0.956 0.588 0.181
0.319 0.775 0.408
0.088 0.908 0.133
0.588 0.956 0.681
0.725 0.592 0.181
0.775 0.456 0.367
0.819 0.912 0.044
0.133 0.725 0.544
0.367 0.412 0.092
0.092 0.912 0.367
0.408 0.133 0.588
0.092 0.181 0.225
0.456 0.681 0.088
0.819 0.908 0.275
0.133 0.408 0.088
0.367 0.956 0.775
0.588 0.633 0.408
0.912 0.819 0.544
0.775 0.319 0.908
0.412 0.367 0.592
0.088 0.181 0.456
0.225 0.681 0.092
0.181 0.092 0.725
0.633 0.044 0.225
0.867 0.592 0.912
0.544 0.319 0.912
0.592 0.867 0.412
0.908 0.819 0.775
0.908 0.088 0.633
0.867 0.275 0.456
0.181 0.088 0.956
0.633 0.588 0.908
0.412 0.044 0.319
0.275 0.408 0.819
0.225 0.544 0.633
0.912 0.092 0.867
0.681 0.225 0.592
0.456 0.775 0.867
0.044 0.412 0.819
0.408 0.275 0.319
0.044 0.633 0.725
0.681 0.456 0.588
0.275 0.867 0.956

---

# 2
ZnCr2H | Alexandria via LeMat-Bulk | PBE | relaxed; volume = 39.5 Å³/cell; crystal system = trigonal; relative energy among the computed polymorphs = 0.0 meV per atom; calculated density = 7.2 Mg/m³
1.0
2.639 0.000 0.000
1.320 2.286 0.000
1.320 0.762 6.551
Cr Zn H
2 1 1
direct
0.278 0.278 0.165
0.722 0.722 0.835
0.500 0.500 0.500
0.000 0.000 0.000

---

# 3
Tb8SbTe4P3 | Alexandria via LeMat-Bulk | PBE | relaxed; volume = 435.9 Å³/cell; crystal system = trigonal; calculated density = 7.6 Mg/m³; raw total energy = -93.6 eV per cell
1.0
8.411 0.000 0.000
0.000 8.612 0.136
-4.206 -4.202 5.951
Tb Sb Te P
8 1 4 3
direct
0.248 0.718 0.970
0.248 0.718 0.495
0.263 0.290 0.527
0.722 0.718 0.970
0.278 0.282 0.030
0.737 0.710 0.473
0.752 0.282 0.505
0.752 0.282 0.030
0.000 0.500 0.000
0.500 0.000 0.000
0.500 0.000 0.500
0.000 0.000 0.000
0.000 0.000 0.500
0.500 0.500 0.000
0.500 0.500 0.500
0.000 0.500 0.500

---

# 4
Ca2SBr | Alexandria via LeMat-Bulk | PBE | relaxed; volume = 101.3 Å³/cell; crystal system = trigonal; relative energy among the computed polymorphs = 0.0 meV per atom; calculated density = 3.2 Mg/m³
1.0
-1.431 3.605 1.305
-1.028 0.492 3.930
5.694 3.427 3.191
Ca S Br
2 1 1
direct
0.264 0.264 0.208
0.736 0.736 0.792
0.000 0.000 0.000
0.500 0.500 0.500